# Hf2AlIn2

A relaxed structure of Hf2AlIn2 (PBE, Alexandria).

Output
Its density is 9.48 g/cm³. The energy relative to the elements is 53 meV per atom.

```
data_Hf2AlIn2
_space_group_name_H-M_alt 'P 4/m b m'
_space_group_IT_number 127
_space_group_name_Hall '-P 4 2ab'
_cell_length_a 7.074
_cell_length_b 7.074
_cell_length_c 4.296
_cell_angle_alpha 90.00
_cell_angle_beta 90.00
_cell_angle_gamma 90.00
loop_
_atom_site_label
_atom_site_type_symbol
_atom_site_fract_x
_atom_site_fract_y
_atom_site_fract_z
_atom_site_occupancy
Hf1 Hf 0.171 0.329 0.000 1
Al1 Al 0.000 0.000 0.500 1
In1 In 0.137 0.637 0.500 1
```

# HfAlIn3

A relaxed structure of HfAlIn3 (PBE, Alexandria).

Output
Its density is 5.22 g/cm³. The energy relative to the elements is 784 meV per atom. The energy above the most stable polymorph in this dataset comes out at 9 meV/atom.

```
data_HfAlIn3
_space_group_name_H-M_alt 'P m -3 m'
_space_group_IT_number 221
_space_group_name_Hall '-P 4 2 3'
_cell_length_a 5.592
_cell_length_b 5.592
_cell_length_c 5.592
_cell_angle_alpha 90.00
_cell_angle_beta 90.00
_cell_angle_gamma 90.00
loop_
_atom_site_label
_atom_site_type_symbol
_atom_site_fract_x
_atom_site_fract_y
_atom_site_fract_z
_atom_site_occupancy
Hf1 Hf 0.000 0.000 0.000 1
Al1 Al 0.500 0.500 0.500 1
In1 In 0.000 0.000 0.500 1
```

# HfAl2In

A relaxed structure of HfAl2In (PBE, Alexandria).

Output
Its density is 7.62 g/cm³. The energy relative to the elements is -194 meV per atom.

```
data_HfAl2In
_space_group_name_H-M_alt 'P 4/m m m'
_space_group_IT_number 123
_space_group_name_Hall '-P 4 2'
_cell_length_a 4.264
_cell_length_b 4.264
_cell_length_c 4.162
_cell_angle_alpha 90.00
_cell_angle_beta 90.00
_cell_angle_gamma 90.00
loop_
_atom_site_label
_atom_site_type_symbol
_atom_site_fract_x
_atom_site_fract_y
_atom_site_fract_z
_atom_site_occupancy
Hf1 Hf 0.000 0.000 0.000 1
Al1 Al 0.000 0.500 0.500 1
In1 In 0.500 0.500 0.000 1
```

# HfAlIn3

A relaxed structure of HfAlIn3 (PBE, Alexandria).

Output
Its density is 6.66 g/cm³. The energy relative to the elements is 775 meV per atom. The energy above the most stable polymorph in this dataset comes out at 0 meV/atom.

```
data_HfAlIn3
_space_group_name_H-M_alt 'P m -3 m'
_space_group_IT_number 221
_space_group_name_Hall '-P 4 2 3'
_cell_length_a 5.155
_cell_length_b 5.155
_cell_length_c 5.155
_cell_angle_alpha 90.00
_cell_angle_beta 90.00
_cell_angle_gamma 90.00
loop_
_atom_site_label
_atom_site_type_symbol
_atom_site_fract_x
_atom_site_fract_y
_atom_site_fract_z
_atom_site_occupancy
Hf1 Hf 0.000 0.000 0.000 1
Al1 Al 0.500 0.500 0.500 1
In1 In 0.000 0.500 0.500 1
```

# Hf5AlIn

A relaxed structure of Hf5AlIn (PBE, Alexandria).

Output
Its density is 10.81 g/cm³. The energy relative to the elements is 167 meV per atom.

```
data_Hf5AlIn
_space_group_name_H-M_alt 'C 1 2/c 1'
_space_group_IT_number 15
_space_group_name_Hall '-C 2yc'
_cell_length_a 10.240
_cell_length_b 6.009
_cell_length_c 10.688
_cell_angle_alpha 90.00
_cell_angle_beta 104.98
_cell_angle_gamma 90.00
loop_
_atom_site_label
_atom_site_type_symbol
_atom_site_fract_x
_atom_site_fract_y
_atom_site_fract_z
_atom_site_occupancy
Hf1 Hf 0.000 0.154 0.250 1
Hf2 Hf 0.099 0.190 0.002 1
Hf3 Hf 0.241 0.062 0.760 1
Al1 Al 0.250 0.250 0.500 1
In1 In 0.000 0.367 0.750 1
```

# Hf7Al5In

A relaxed structure of Hf7Al5In (PBE, Alexandria).

Output
Its density is 9.38 g/cm³. The energy relative to the elements is -161 meV per atom.

```
data_Hf7Al5In
_space_group_name_H-M_alt 'I m m 2'
_space_group_IT_number 44
_space_group_name_Hall 'I 2 -2'
_cell_length_a 5.511
_cell_length_b 9.553
_cell_length_c 10.079
_cell_angle_alpha 90.00
_cell_angle_beta 90.00
_cell_angle_gamma 90.00
loop_
_atom_site_label
_atom_site_type_symbol
_atom_site_fract_x
_atom_site_fract_y
_atom_site_fract_z
_atom_site_occupancy
Hf1 Hf 0.000 0.000 0.000 1
Hf2 Hf 0.000 0.000 0.282 1
Hf3 Hf 0.000 0.324 0.117 1
Hf4 Hf 0.000 0.345 0.622 1
Hf5 Hf 0.000 0.500 0.357 1
Al1 Al 0.000 0.500 0.875 1
Al2 Al 0.247 0.250 0.872 1
In1 In 0.000 0.000 0.668 1
```

# Hf12Al3In

A relaxed structure of Hf12Al3In (PBE, Alexandria).

Output
Its density is 11.73 g/cm³. The energy relative to the elements is -211 meV per atom.

```
data_Hf12Al3In
_space_group_name_H-M_alt 'P 4/m m m'
_space_group_IT_number 123
_space_group_name_Hall '-P 4 2'
_cell_length_a 4.361
_cell_length_b 4.361
_cell_length_c 17.404
_cell_angle_alpha 90.00
_cell_angle_beta 90.00
_cell_angle_gamma 90.00
loop_
_atom_site_label
_atom_site_type_symbol
_atom_site_fract_x
_atom_site_fract_y
_atom_site_fract_z
_atom_site_occupancy
Hf1 Hf 0.000 0.000 0.000 1
Hf2 Hf 0.000 0.000 0.247 1
Hf3 Hf 0.000 0.000 0.500 1
Hf4 Hf 0.000 0.500 0.124 1
Hf5 Hf 0.000 0.500 0.370 1
Al1 Al 0.500 0.500 0.000 1
Al2 Al 0.500 0.500 0.248 1
In1 In 0.500 0.500 0.500 1
```

# Hf7Al2In2

A relaxed structure of Hf7Al2In2 (PBE, Alexandria).

Output
Its density is 10.58 g/cm³. The energy relative to the elements is 81 meV per atom.

```
data_Hf7Al2In2
_space_group_name_H-M_alt 'C 1 2/m 1'
_space_group_IT_number 12
_space_group_name_Hall '-C 2y'
_cell_length_a 10.783
_cell_length_b 8.515
_cell_length_c 5.321
_cell_angle_alpha 90.00
_cell_angle_beta 99.79
_cell_angle_gamma 90.00
loop_
_atom_site_label
_atom_site_type_symbol
_atom_site_fract_x
_atom_site_fract_y
_atom_site_fract_z
_atom_site_occupancy
Hf1 Hf 0.000 0.000 0.000 1
Hf2 Hf 0.048 0.500 0.269 1
Hf3 Hf 0.244 0.334 0.752 1
Al1 Al 0.203 0.000 0.737 1
In1 In 0.000 0.188 0.500 1
```

# HfAl2In

A relaxed structure of HfAl2In (PBE, Alexandria).

Output
Its density is 6.77 g/cm³. The energy relative to the elements is 234 meV per atom.

```
data_HfAl2In
_space_group_name_H-M_alt 'I -4 2 d'
_space_group_IT_number 122
_space_group_name_Hall 'I -4 2bw'
_cell_length_a 7.648
_cell_length_b 7.648
_cell_length_c 5.823
_cell_angle_alpha 90.00
_cell_angle_beta 90.00
_cell_angle_gamma 90.00
loop_
_atom_site_label
_atom_site_type_symbol
_atom_site_fract_x
_atom_site_fract_y
_atom_site_fract_z
_atom_site_occupancy
Hf1 Hf 0.000 0.000 0.000 1
Al1 Al 0.236 0.250 0.625 1
In1 In 0.000 0.000 0.500 1
```

# Hf9Al2In

A relaxed structure of Hf9Al2In (PBE, Alexandria).

Output
Its density is 11.81 g/cm³. The energy relative to the elements is -201 meV per atom.

```
data_Hf9Al2In
_space_group_name_H-M_alt 'P 4/m m m'
_space_group_IT_number 123
_space_group_name_Hall '-P 4 2'
_cell_length_a 4.366
_cell_length_b 4.366
_cell_length_c 13.097
_cell_angle_alpha 90.00
_cell_angle_beta 90.00
_cell_angle_gamma 90.00
loop_
_atom_site_label
_atom_site_type_symbol
_atom_site_fract_x
_atom_site_fract_y
_atom_site_fract_z
_atom_site_occupancy
Hf1 Hf 0.000 0.000 0.000 1
Hf2 Hf 0.000 0.000 0.336 1
Hf3 Hf 0.000 0.500 0.173 1
Hf4 Hf 0.000 0.500 0.500 1
Al1 Al 0.500 0.500 0.335 1
In1 In 0.500 0.500 0.000 1
```

# Hf6AlIn

A relaxed structure of Hf6AlIn (PBE, Alexandria).

Output
Its density is 11.97 g/cm³. The energy relative to the elements is -186 meV per atom. The energy above the most stable polymorph in this dataset comes out at 0 meV/atom.

```
data_Hf6AlIn
_space_group_name_H-M_alt 'P 4/m m m'
_space_group_IT_number 123
_space_group_name_Hall '-P 4 2'
_cell_length_a 4.382
_cell_length_b 4.382
_cell_length_c 8.758
_cell_angle_alpha 90.00
_cell_angle_beta 90.00
_cell_angle_gamma 90.00
loop_
_atom_site_label
_atom_site_type_symbol
_atom_site_fract_x
_atom_site_fract_y
_atom_site_fract_z
_atom_site_occupancy
Hf1 Hf 0.000 0.000 0.000 1
Hf2 Hf 0.000 0.000 0.500 1
Hf3 Hf 0.000 0.500 0.243 1
Al1 Al 0.500 0.500 0.000 1
In1 In 0.500 0.500 0.500 1
```

# Hf3Al2In

A relaxed structure of Hf3Al2In (PBE, Alexandria).

Output
Its density is 9.72 g/cm³. The energy relative to the elements is -147 meV per atom.

```
data_Hf3Al2In
_space_group_name_H-M_alt 'C m m m'
_space_group_IT_number 65
_space_group_name_Hall '-C 2 2'
_cell_length_a 5.147
_cell_length_b 15.474
_cell_length_c 3.022
_cell_angle_alpha 90.00
_cell_angle_beta 90.00
_cell_angle_gamma 90.00
loop_
_atom_site_label
_atom_site_type_symbol
_atom_site_fract_x
_atom_site_fract_y
_atom_site_fract_z
_atom_site_occupancy
Hf1 Hf 0.000 0.000 0.000 1
Hf2 Hf 0.000 0.322 0.000 1
Al1 Al 0.000 0.161 0.500 1
In1 In 0.000 0.500 0.500 1
```

# HfAlIn2P

A relaxed structure of HfAlIn2P (PBE, Alexandria).

Output
Its density is 6.32 g/cm³. The energy relative to the elements is 745 meV per atom.

```
data_HfAlIn2P
_space_group_name_H-M_alt 'P 4/m m m'
_space_group_IT_number 123
_space_group_name_Hall '-P 4 2'
_cell_length_a 5.187
_cell_length_b 5.187
_cell_length_c 4.550
_cell_angle_alpha 90.00
_cell_angle_beta 90.00
_cell_angle_gamma 90.00
loop_
_atom_site_label
_atom_site_type_symbol
_atom_site_fract_x
_atom_site_fract_y
_atom_site_fract_z
_atom_site_occupancy
Hf1 Hf 0.000 0.000 0.000 1
Al1 Al 0.500 0.500 0.500 1
In1 In 0.000 0.500 0.500 1
P1 P 0.500 0.500 0.000 1
```

# Hf2AlInPb

A relaxed structure of Hf2AlInPb (PBE, Alexandria).

Output
Its density is 6.72 g/cm³. The energy relative to the elements is 965 meV per atom.

```
data_Hf2AlInPb
_space_group_name_H-M_alt 'P 4/m m m'
_space_group_IT_number 123
_space_group_name_Hall '-P 4 2'
_cell_length_a 5.453
_cell_length_b 5.453
_cell_length_c 5.868
_cell_angle_alpha 90.00
_cell_angle_beta 90.00
_cell_angle_gamma 90.00
loop_
_atom_site_label
_atom_site_type_symbol
_atom_site_fract_x
_atom_site_fract_y
_atom_site_fract_z
_atom_site_occupancy
Hf1 Hf 0.000 0.500 0.000 1
Al1 Al 0.000 0.000 0.000 1
In1 In 0.500 0.500 0.500 1
Pb1 Pb 0.000 0.000 0.500 1
```

# HfAlIn2Re

A relaxed structure of HfAlIn2Re (PBE, Alexandria).

Output
Its density is 8.46 g/cm³. The energy relative to the elements is 1457 meV per atom.

```
data_HfAlIn2Re
_space_group_name_H-M_alt 'P 4/m m m'
_space_group_IT_number 123
_space_group_name_Hall '-P 4 2'
_cell_length_a 4.893
_cell_length_b 4.893
_cell_length_c 5.095
_cell_angle_alpha 90.00
_cell_angle_beta 90.00
_cell_angle_gamma 90.00
loop_
_atom_site_label
_atom_site_type_symbol
_atom_site_fract_x
_atom_site_fract_y
_atom_site_fract_z
_atom_site_occupancy
Hf1 Hf 0.000 0.000 0.000 1
Al1 Al 0.000 0.000 0.500 1
In1 In 0.000 0.500 0.500 1
Re1 Re 0.500 0.500 0.000 1
```

# HfAlInTe2

A relaxed structure of HfAlInTe2 (PBE, Alexandria).

Output
Its density is 6.36 g/cm³. Its formation energy (no corrections) is 554 meV/atom.

```
data_HfAlInTe2
_space_group_name_H-M_alt 'P 4/m m m'
_space_group_IT_number 123
_space_group_name_Hall '-P 4 2'
_cell_length_a 5.325
_cell_length_b 5.325
_cell_length_c 5.300
_cell_angle_alpha 90.00
_cell_angle_beta 90.00
_cell_angle_gamma 90.00
loop_
_atom_site_label
_atom_site_type_symbol
_atom_site_fract_x
_atom_site_fract_y
_atom_site_fract_z
_atom_site_occupancy
Hf1 Hf 0.000 0.000 0.000 1
Al1 Al 0.000 0.000 0.500 1
In1 In 0.500 0.500 0.000 1
Te1 Te 0.000 0.500 0.500 1
```

# Hf2Al3Ir

A relaxed structure of Hf2Al3Ir (PBE, Alexandria).

Output
Its density is 10.36 g/cm³. The energy relative to the elements is -706 meV per atom.

```
data_Hf2Al3Ir
_space_group_name_H-M_alt 'R -3 m'
_space_group_IT_number 166
_space_group_name_Hall '-R 3 2"'
_cell_length_a 5.2504
_cell_length_b 5.2504
_cell_length_c 12.6877
_cell_angle_alpha 90.00
_cell_angle_beta 90.00
_cell_angle_gamma 120.00
loop_
_atom_site_label
_atom_site_type_symbol
_atom_site_fract_x
_atom_site_fract_y
_atom_site_fract_z
_atom_site_occupancy
Hf1 Hf 0.0000 0.0000 0.1289 1
Al1 Al 0.0000 0.5000 0.0000 1
Ir1 Ir 0.0000 0.0000 0.5000 1
```

# Hf4AlIr2

A relaxed structure of Hf4AlIr2 (PBE, Alexandria).

Output
Its density is 12.59 g/cm³. The energy relative to the elements is -495 meV per atom.

```
data_Hf4AlIr2
_space_group_name_H-M_alt 'R -3 m'
_space_group_IT_number 166
_space_group_name_Hall '-R 3 2"'
_cell_length_a 4.4173
_cell_length_b 4.4173
_cell_length_c 26.3546
_cell_angle_alpha 90.00
_cell_angle_beta 90.00
_cell_angle_gamma 120.00
loop_
_atom_site_label
_atom_site_type_symbol
_atom_site_fract_x
_atom_site_fract_y
_atom_site_fract_z
_atom_site_occupancy
Hf1 Hf 0.0000 0.0000 0.1158 1
Hf2 Hf 0.0000 0.0000 0.2970 1
Al1 Al 0.0000 0.0000 0.5000 1
Ir1 Ir 0.0000 0.0000 0.4022 1
```

# Hf4AlIr

A relaxed structure of Hf4AlIr (PBE, Alexandria).

Output
Its density is 11.54 g/cm³. The energy relative to the elements is -200 meV per atom.

```
data_Hf4AlIr
_space_group_name_H-M_alt 'P 1 2/m 1'
_space_group_IT_number 10
_space_group_name_Hall '-P 2y'
_cell_length_a 4.498
_cell_length_b 4.519
_cell_length_c 6.606
_cell_angle_alpha 90.00
_cell_angle_beta 90.11
_cell_angle_gamma 90.00
loop_
_atom_site_label
_atom_site_type_symbol
_atom_site_fract_x
_atom_site_fract_y
_atom_site_fract_z
_atom_site_occupancy
Hf1 Hf 0.000 0.000 0.240 1
Hf2 Hf 0.500 0.500 0.241 1
Al1 Al 0.500 0.000 0.500 1
Ir1 Ir 0.000 0.500 0.000 1
```

# Hf6Al2Ir

A relaxed structure of Hf6Al2Ir (PBE, Alexandria).

Output
Its density is 11.91 g/cm³. The energy relative to the elements is -250 meV per atom.

```
data_Hf6Al2Ir
_space_group_name_H-M_alt 'P 1 21/c 1'
_space_group_IT_number 14
_space_group_name_Hall '-P 2ybc'
_cell_length_a 5.283
_cell_length_b 7.987
_cell_length_c 9.787
_cell_angle_alpha 90.00
_cell_angle_beta 117.20
_cell_angle_gamma 90.00
loop_
_atom_site_label
_atom_site_type_symbol
_atom_site_fract_x
_atom_site_fract_y
_atom_site_fract_z
_atom_site_occupancy
Hf1 Hf 0.027 0.171 0.440 1
Hf2 Hf 0.366 0.678 0.438 1
Hf3 Hf 0.396 0.032 0.298 1
Al1 Al 0.163 0.120 0.757 1
Ir1 Ir 0.000 0.000 0.000 1
```